(1)
## PmMg3Co8 (PBE)

Data for PmMg3Co8 after structural relaxation.

Properties
E_form: -0.039 eV per atom
E_tot: -5.571 eV per atom

Cell lengths 4.918, 4.918, 8.605 Å; angles 73.39, 73.39, 60.00 degrees
Site moments in Bohr magnetons follow the coordinates.
Atoms (fractional coordinates):
Co (0.938, 0.429, 0.695)  1.48
Co (0.688, 0.688, 0.935)  1.48
Co (0.439, 0.944, 0.177)  1.48
Co (0.429, 0.938, 0.695)  1.48
Co (0.938, 0.938, 0.695)  1.48
Co (0.187, 0.187, 0.439)  1.38
Co (0.944, 0.439, 0.177)  1.48
Co (0.439, 0.439, 0.177)  1.48
Mg (0.003, 0.003, 0.990)  -0.02
Mg (0.374, 0.374, 0.877)  -0.03
Mg (0.493, 0.493, 0.520)  -0.02
Pm (0.876, 0.876, 0.373)  -0.25

(2)
## Dy2Te4Au (PBE)

Data for Dy2Te4Au after structural relaxation.

Properties
raw formation energy: -0.889 eV/atom
E_tot: -4.468 eV per atom

Cell lengths 7.708, 6.242, 8.730 Å; angles 90.00, 104.95, 90.00 degrees
Atoms (fractional coordinates):
Te (0.920, 0.250, 0.576)
Te (0.476, 0.994, 0.750)
Te (0.080, 0.750, 0.424)
Te (0.062, 0.750, 0.853)
Te (0.476, 0.506, 0.750)
Te (0.524, 0.494, 0.250)
Te (0.938, 0.250, 0.147)
Te (0.524, 0.006, 0.250)
Au (0.208, 0.750, 0.165)
Au (0.792, 0.250, 0.835)
Dy (0.205, 0.250, 0.919)
Dy (0.738, 0.750, 0.557)
Dy (0.262, 0.250, 0.443)
Dy (0.795, 0.750, 0.081)

(3)
## YMgSe2N (PBE)

Data for YMgSe2N after structural relaxation.

Properties
raw formation energy: -0.359 eV/atom
E_tot: -5.029 eV per atom

Cell lengths 5.128, 5.128, 3.994 Å; angles 90.00, 90.00, 90.00 degrees
Site moments in Bohr magnetons follow the coordinates.
Atoms (fractional coordinates):
Mg (0.000, 0.000, 0.000)  -0.01
Se (0.500, 0.000, 0.000)  0.14
Se (0.000, 0.500, 0.000)  0.14
N (0.000, 0.000, 0.500)  1.08
Y (0.500, 0.500, 0.500)  -0.01

(4)
## La8HoEr2 (PBE)

Data for La8HoEr2 after structural relaxation.

Properties
E_form: 0.127 eV per atom
E_tot: -4.702 eV per atom

Cell lengths 6.064, 9.590, 9.590 Å; angles 122.32, 105.56, 105.56 degrees
Atoms (fractional coordinates):
La (0.702, 0.420, 0.420)
La (0.500, 0.206, 0.794)
La (0.817, 0.666, 0.905)
La (0.817, 0.905, 0.666)
La (0.183, 0.334, 0.095)
La (0.500, 0.794, 0.206)
La (0.183, 0.095, 0.334)
La (0.298, 0.580, 0.580)
Er (0.000, 0.689, 0.311)
Er (0.000, 0.311, 0.689)
Ho (0.500, 0.000, 0.000)